Here is a relaxed TcHgAu crystal from Alexandria via LeMat-Bulk. Energies are from PBE.

Computed properties:
Magnetic moment (μB per cell): 0.00
Calculated volume (A^3/atom): 17.76
ΔE_f (kJ per mole of atoms): 45.3

The structure in CIF format:
```
data_TcHgAu
_symmetry_space_group_name_H-M 'I 4 m m'
_symmetry_Int_Tables_number 107
_symmetry_space_group_name_Hall 'I 4 -2'
_cell_length_a 2.871
_cell_length_b 2.871
_cell_length_c 12.922
_cell_angle_alpha 90.00
_cell_angle_beta 90.00
_cell_angle_gamma 90.00
loop_
_atom_site_label
_atom_site_fract_x
_atom_site_fract_y
_atom_site_fract_z
Tc1 0.000 0.000 0.000
Hg1 0.000 0.000 0.666
Au1 0.000 0.000 0.348
```